1.
VASP calculation (PBE) on a relaxed structure of ErScBeCu.

The structure in POSCAR format:
```
ErScBeCu
1.0
-2.781 -0.384 -3.764
-1.998 -4.122 -1.032
-4.629 -0.568 0.548
Sc Be Cu Er
1 1 1 1
direct
0.500 0.500 0.500 Sc
0.750 0.750 0.750 Be
0.250 0.250 0.250 Cu
0.000 0.000 0.000 Er
```

volume	73	Å³ per cell
SG	F-43m (216)
calculated formation energy	-0.095	eV/atom

---

2.
VASP calculation (PBE) on a relaxed structure of MgAg2Au.

The structure in POSCAR format:
```
MgAg2Au
1.0
5.070 -0.039 0.038
4.085 3.004 0.038
1.117 0.362 4.723
Mg Au Ag
1 1 2
direct
0.246 0.246 0.263 Mg
0.504 0.504 0.487 Au
0.999 0.999 0.993 Ag
0.751 0.751 0.757 Ag
```

volume	73	Å³ per cell
SG	Cm (8)
calculated formation energy	-0.199	eV/atom

---

3.
VASP calculation (PBE) on a relaxed structure of RbSn4Se5.

The structure in POSCAR format:
```
RbSn4Se5
1.0
4.192 0.000 0.957
1.811 6.981 1.726
-0.062 -0.309 9.924
Rb Sn Se
1 4 5
direct
0.000 0.000 0.000 Rb
0.602 0.203 0.594 Sn
0.201 0.394 0.205 Sn
0.799 0.606 0.795 Sn
0.398 0.797 0.406 Sn
0.199 0.928 0.673 Se
0.801 0.072 0.327 Se
0.388 0.350 0.874 Se
0.000 0.500 0.500 Se
0.612 0.650 0.126 Se
```

volume	292	Å³ per cell
SG	C2/m (12)
formation energy (no corrections)	-0.536	eV per atom

---

4.
VASP calculation (PBE) on a relaxed structure of HoHfPd6.

The structure in POSCAR format:
```
HoHfPd6
1.0
4.058 0.000 0.000
0.000 4.058 0.000
0.000 0.000 8.125
Ho Hf Pd
1 1 6
direct
0.000 0.000 0.000 Ho
0.000 0.000 0.500 Hf
0.500 0.500 0.000 Pd
0.500 0.500 0.500 Pd
0.500 0.000 0.260 Pd
0.500 0.000 0.740 Pd
0.000 0.500 0.260 Pd
0.000 0.500 0.740 Pd
```

volume	134	Å³ per cell
SG	P4/mmm (123)
calculated formation energy	-0.905	eV/atom

---

5.
VASP calculation (PBE) on a relaxed structure of TiNbBi2.

The structure in POSCAR format:
```
TiNbBi2
1.0
6.548 0.000 0.000
0.000 6.548 0.000
3.274 3.274 6.461
Nb Bi Ti
2 4 2
direct
0.000 0.000 0.000 Nb
0.750 0.250 0.500 Nb
0.622 0.125 0.250 Bi
0.128 0.625 0.250 Bi
0.375 0.378 0.750 Bi
0.875 0.872 0.750 Bi
0.500 0.500 0.000 Ti
0.250 0.750 0.500 Ti
```

volume	277	Å³ per cell
SG	I-42d (122)
energy relative to the lowest polymorph listed for this composition	16.31	kcal/mol of atoms
calculated formation energy	0.861	eV/atom

---

6.
VASP calculation (PBE) on a relaxed structure of LaSm2Ag2.

The structure in POSCAR format:
```
LaSm2Ag2
1.0
-3.525 0.304 1.196
-1.781 -1.981 -4.748
2.387 -13.020 4.538
La Sm Ag
2 4 4
direct
0.856 0.750 0.710 La
0.144 0.250 0.290 La
0.048 0.750 0.095 Sm
0.952 0.250 0.905 Sm
0.234 0.750 0.468 Sm
0.766 0.250 0.532 Sm
0.642 0.750 0.283 Ag
0.358 0.250 0.717 Ag
0.456 0.750 0.911 Ag
0.544 0.250 0.089 Ag
```

volume	282	Å³ per cell
SG	P2_1/m (11)
energy relative to the lowest polymorph listed for this composition	0.00	kcal/mol of atoms
calculated formation energy	-0.198	eV/atom

---

7.
VASP calculation (PBE) on a relaxed structure of TeHPdI2.

The structure in POSCAR format:
```
TeHPdI2
1.0
5.654 0.000 0.000
0.000 5.654 0.000
0.000 0.000 5.182
I H Te Pd
2 1 1 1
direct
0.000 0.500 0.000 I
0.500 0.000 0.000 I
0.500 0.500 0.500 H
0.000 0.000 0.500 Te
0.000 0.000 0.000 Pd
```

volume	166	Å³ per cell
SG	P4/mmm (123)
energy relative to the lowest polymorph listed for this composition	0.00	kcal/mol of atoms

---

8.
VASP calculation (PBE) on a relaxed structure of AcY5Sb6.

The structure in POSCAR format:
```
AcY5Sb6
1.0
-3.716 -2.839 -6.162
1.801 -7.468 -0.900
-4.264 -5.451 3.455
Y Sb Ac
5 6 1
direct
0.500 0.162 0.676 Y
0.000 0.332 0.336 Y
0.500 0.500 0.000 Y
0.000 0.668 0.664 Y
0.500 0.838 0.324 Y
0.741 0.087 0.346 Sb
0.259 0.567 0.346 Sb
0.255 0.262 0.000 Sb
0.745 0.738 0.000 Sb
0.741 0.433 0.654 Sb
0.259 0.913 0.654 Sb
0.000 0.000 0.000 Ac
```

volume	378	Å³ per cell
SG	C2/m (12)
formation energy (no corrections)	-1.151	eV per atom

---

9.
VASP calculation (PBE) on a relaxed structure of Bi3TeMo.

The structure in POSCAR format:
```
Bi3TeMo
1.0
-3.086 2.511 -3.619
0.810 -4.020 -3.480
-4.330 -2.542 1.928
Mo Te Bi
1 1 3
direct
0.000 0.000 0.000 Mo
0.500 0.500 0.500 Te
0.000 0.500 0.000 Bi
0.000 0.000 0.500 Bi
0.500 0.000 0.000 Bi
```

volume	156	Å³ per cell
SG	Pm-3m (221)
energy relative to the lowest polymorph listed for this composition	0.00	kcal/mol of atoms
formation energy (no corrections)	0.417	eV per atom

---

10.
VASP calculation (PBE) on a relaxed structure of Ho5BiAs6.

The structure in POSCAR format:
```
Ho5BiAs6
1.0
7.046 -0.111 -1.328
-3.808 5.929 -1.328
0.137 0.246 7.158
As Ho Bi
6 5 1
direct
0.424 0.085 0.253 As
0.915 0.576 0.747 As
0.255 0.255 0.746 As
0.745 0.745 0.254 As
0.085 0.424 0.253 As
0.576 0.915 0.747 As
0.835 0.165 0.500 Ho
0.668 0.332 0.000 Ho
0.500 0.500 0.500 Ho
0.332 0.668 0.000 Ho
0.165 0.835 0.500 Ho
0.000 0.000 0.000 Bi
```

volume	301	Å³ per cell
SG	C2/m (12)
calculated formation energy	-1.216	eV/atom

---

11.
VASP calculation (PBE) on a relaxed structure of LiHfNb2N4.

The structure in POSCAR format:
```
LiHfNb2N4
1.0
4.393 0.239 0.000
-0.239 4.393 0.000
-2.077 -2.316 4.387
Li Hf Nb N
1 1 2 4
direct
0.437 0.437 0.000 Li
0.937 0.937 0.000 Hf
0.187 0.687 0.500 Nb
0.687 0.187 0.500 Nb
0.937 0.437 0.000 N
0.437 0.937 0.000 N
0.191 0.191 0.508 N
0.683 0.683 0.492 N
```

volume	85	Å³ per cell
SG	I4/mmm (139)
formation energy (no corrections)	-1.215	eV per atom

---

12.
VASP calculation (PBE) on a relaxed structure of CaDySe2.

The structure in POSCAR format:
```
CaDySe2
1.0
4.070 0.000 0.000
-2.035 3.525 0.000
0.000 0.000 14.053
Ca Dy Se
2 2 4
direct
0.667 0.333 0.250 Ca
0.333 0.667 0.750 Ca
0.000 0.000 0.500 Dy
0.000 0.000 0.000 Dy
0.333 0.667 0.380 Se
0.667 0.333 0.880 Se
0.667 0.333 0.620 Se
0.333 0.667 0.120 Se
```

volume	202	Å³ per cell
SG	P6_3/mmc (194)
energy relative to the lowest polymorph listed for this composition	0.98	kcal/mol of atoms
formation energy (no corrections)	-1.830	eV per atom

---

13.
VASP calculation (PBE) on a relaxed structure of ZrScP.

The structure in POSCAR format:
```
ZrScP
1.0
3.863 0.000 0.000
0.000 3.894 0.000
0.000 0.000 7.408
Zr Sc P
2 2 2
direct
0.500 0.500 0.002 Zr
0.000 0.500 0.644 Zr
0.500 0.000 0.370 Sc
0.000 0.000 0.006 Sc
0.500 0.000 0.736 P
0.000 0.500 0.275 P
```

volume	111	Å³ per cell
SG	Pmm2 (25)
calculated formation energy	-0.992	eV/atom

---

14.
VASP calculation (PBE) on a relaxed structure of YCrFeSi2.

The structure in POSCAR format:
```
YCrFeSi2
1.0
3.909 0.000 0.000
0.000 3.909 0.000
-1.955 -1.955 5.142
Y Cr Fe Si
1 1 1 2
direct
0.000 0.000 0.000 Y
0.750 0.250 0.500 Cr
0.250 0.750 0.500 Fe
0.621 0.621 0.241 Si
0.379 0.379 0.759 Si
```

volume	79	Å³ per cell
SG	I-4m2 (119)
formation energy (no corrections)	-0.558	eV per atom

---

15.
VASP calculation (PBE) on a relaxed structure of SmRh4Au.

The structure in POSCAR format:
```
SmRh4Au
1.0
5.284 0.000 0.000
2.642 4.576 0.000
2.642 1.525 4.314
Rh Au Sm
4 1 1
direct
0.626 0.626 0.123 Rh
0.626 0.123 0.626 Rh
0.626 0.626 0.626 Rh
0.123 0.626 0.626 Rh
0.000 0.000 0.000 Au
0.250 0.250 0.250 Sm
```

volume	104	Å³ per cell
SG	F-43m (216)
calculated formation energy	-0.296	eV/atom

---

16.
VASP calculation (PBE) on a relaxed structure of Sm2Er2Mg3.

The structure in POSCAR format:
```
Sm2Er2Mg3
1.0
-2.501 0.313 -2.444
-0.578 -8.299 -0.472
-3.391 2.460 6.307
Sm Er Mg
2 2 3
direct
0.426 0.284 0.853 Sm
0.574 0.716 0.147 Sm
0.144 0.417 0.288 Er
0.856 0.583 0.712 Er
0.000 0.000 0.000 Mg
0.287 0.863 0.574 Mg
0.713 0.137 0.426 Mg
```

volume	202	Å³ per cell
SG	C2/m (12)
calculated formation energy	0.006	eV/atom

---

17.
VASP calculation (PBE) on a relaxed structure of ErPaHgOs.

The structure in POSCAR format:
```
ErPaHgOs
1.0
-1.452 2.805 3.904
-4.772 -0.145 1.559
-1.147 -2.186 4.374
Pa Os Hg Er
1 1 1 1
direct
0.500 0.500 0.500 Pa
0.250 0.250 0.250 Os
0.750 0.750 0.750 Hg
0.000 0.000 0.000 Er
```

volume	90	Å³ per cell
SG	F-43m (216)
calculated formation energy	-0.077	eV/atom

---

18.
VASP calculation (PBE) on a relaxed structure of BaLa3Pt.

The structure in POSCAR format:
```
BaLa3Pt
1.0
29.178 0.000 -2.662
0.000 6.889 0.000
-10.289 0.000 4.667
Ba Pt La
4 4 12
direct
0.776 0.867 0.397 Ba
0.224 0.133 0.603 Ba
0.724 0.367 0.103 Ba
0.276 0.633 0.897 Ba
0.140 0.900 0.793 Pt
0.860 0.100 0.207 Pt
0.360 0.400 0.707 Pt
0.640 0.600 0.293 Pt
0.878 0.395 0.813 La
0.122 0.605 0.187 La
0.622 0.895 0.687 La
0.378 0.105 0.313 La
0.145 0.139 0.051 La
0.855 0.861 0.949 La
0.355 0.639 0.449 La
0.645 0.361 0.551 La
0.459 0.817 0.002 La
0.541 0.183 0.998 La
0.041 0.317 0.498 La
0.959 0.683 0.502 La
```

volume	749	Å³ per cell
SG	P2_1/c (14)
energy relative to the lowest polymorph listed for this composition	1.63	kcal/mol of atoms
calculated formation energy	-0.340	eV/atom

---

19.
VASP calculation (PBE) on a relaxed structure of Sr2MgTlCu.

The structure in POSCAR format:
```
Sr2MgTlCu
1.0
5.907 0.000 0.000
0.000 5.907 0.000
0.000 0.000 4.934
Sr Tl Mg Cu
2 1 1 1
direct
0.000 0.500 0.000 Sr
0.500 0.000 0.000 Sr
0.500 0.500 0.500 Tl
0.000 0.000 0.500 Mg
0.000 0.000 0.000 Cu
```

volume	172	Å³ per cell
SG	P4/mmm (123)
calculated formation energy	-0.059	eV/atom

---

20.
VASP calculation (PBE) on a relaxed structure of Ca2CdGa.

The structure in POSCAR format:
```
Ca2CdGa
1.0
8.357 0.000 0.000
0.000 8.357 0.000
4.178 4.178 3.487
Ca Ga Cd
4 2 2
direct
0.609 0.125 0.250 Ca
0.141 0.625 0.250 Ca
0.375 0.391 0.750 Ca
0.875 0.859 0.750 Ca
0.500 0.500 0.000 Ga
0.250 0.750 0.500 Ga
0.000 0.000 0.000 Cd
0.750 0.250 0.500 Cd
```

volume	243	Å³ per cell
SG	I-42d (122)
calculated formation energy	-0.073	eV/atom

---

21.
VASP calculation (PBE) on a relaxed structure of LaTlPd2.

The structure in POSCAR format:
```
LaTlPd2
1.0
4.419 0.000 0.000
0.000 5.675 0.000
0.000 0.000 7.336
La Tl Pd
2 2 4
direct
0.000 0.250 0.745 La
0.000 0.750 0.255 La
0.500 0.750 0.623 Tl
0.500 0.250 0.377 Tl
0.000 0.750 0.850 Pd
0.000 0.250 0.150 Pd
0.500 0.000 0.000 Pd
0.500 0.500 0.000 Pd
```

volume	184	Å³ per cell
SG	Pmma (51)
calculated formation energy	-0.665	eV/atom

---

22.
VASP calculation (PBE) on a relaxed structure of SmMg4Zn2.

The structure in POSCAR format:
```
SmMg4Zn2
1.0
-3.722 2.219 -1.212
-4.642 -5.836 3.569
0.189 4.202 7.117
Sm Mg Zn
2 8 4
direct
0.500 0.000 0.000 Sm
0.000 0.500 0.500 Sm
0.000 0.090 0.338 Mg
0.000 0.910 0.662 Mg
0.500 0.162 0.590 Mg
0.500 0.838 0.410 Mg
0.500 0.410 0.838 Mg
0.500 0.590 0.162 Mg
0.000 0.338 0.090 Mg
0.000 0.662 0.910 Mg
0.000 0.219 0.781 Zn
0.000 0.781 0.219 Zn
0.500 0.719 0.719 Zn
0.500 0.281 0.281 Zn
```

volume	308	Å³ per cell
SG	P4_2/mnm (136)
energy relative to the lowest polymorph listed for this composition	0.58	kcal/mol of atoms
calculated formation energy	-0.141	eV/atom

---

23.
VASP calculation (PBE) on a relaxed structure of La3ZnN.

The structure in POSCAR format:
```
La3ZnN
1.0
10.336 0.004 -0.001
-0.286 7.047 0.007
-0.001 -1.081 3.744
Zn La N
2 6 2
direct
0.343 0.397 0.080 Zn
0.832 0.425 0.594 Zn
0.543 0.155 0.457 La
0.654 0.667 0.214 La
0.378 0.771 0.766 La
0.036 0.625 0.194 La
0.151 0.148 0.456 La
0.844 0.034 0.898 La
0.603 0.924 0.842 N
0.962 0.938 0.351 N
```

volume	273	Å³ per cell
SG	Cm (8)
energy relative to the lowest polymorph listed for this composition	2.07	kcal/mol of atoms
formation energy (no corrections)	-0.606	eV per atom

---

24.
VASP calculation (PBE) on a relaxed structure of Sc2Pd2Cl.

The structure in POSCAR format:
```
Sc2Pd2Cl
1.0
7.455 0.000 0.000
0.000 7.455 0.000
0.000 0.000 3.489
Sc Pd Cl
4 4 2
direct
0.330 0.830 0.000 Sc
0.830 0.670 0.000 Sc
0.670 0.170 0.000 Sc
0.170 0.330 0.000 Sc
0.127 0.627 0.500 Pd
0.627 0.873 0.500 Pd
0.873 0.373 0.500 Pd
0.373 0.127 0.500 Pd
0.000 0.000 0.000 Cl
0.500 0.500 0.000 Cl
```

volume	194	Å³ per cell
SG	P4/mbm (127)
formation energy (no corrections)	-0.878	eV per atom

---

Let's list uncorrected energy in order: -0.3509 -0.2089 -0.2922 -0.4863 -0.4094 -0.3096 -0.1759 -0.4592 -0.3459 -0.4242 -0.6893 -0.3839 -0.5700 -0.5613 -0.4799 -0.2447 -0.4759 -0.3593 -0.1722 -0.1514 -0.3737 -0.1536 -0.4030 -0.4305 Ry per atom.